This record from Alexandria via LeMat-Bulk describes crystalline Pm7Tl2Ge2 at its relaxed geometry. The functional is PBE. Values from VASP.

Geometry as Quantum ESPRESSO input:
```
&SYSTEM
  ibrav = 0, nat = 11, ntyp = 3
/
ATOMIC_SPECIES
Ge 72.64 Ge.upf
Tl 204.38 Tl.upf
Pm 145.00 Pm.upf
ATOMIC_POSITIONS crystal
Ge 0.7212 0.0000 0.2788
Ge 0.2788 0.0000 0.7212
Tl 0.8236 0.5000 0.8236
Pm 0.0000 0.7294 0.5000
Pm 0.0000 0.0000 0.0000
Pm 0.5000 0.7294 0.0000
Pm 0.5000 0.7518 0.5000
Tl 0.1764 0.5000 0.1764
Pm 0.5000 0.2482 0.5000
Pm 0.0000 0.2706 0.5000
Pm 0.5000 0.2706 0.0000
CELL_PARAMETERS angstrom
6.9796 -0.0029 -0.7817
0.0034 7.3613 0.0032
-1.2150 -0.0024 6.9173
```

calculated formation energy	-0.307	eV/atom